The following is a PBE-GGA calculation of KTlMo2 after structural relaxation, from Alexandria.

POSCAR file:
```
KTlMo2
1.0
1.6837 -2.3202 0.0000
1.6837 2.3202 0.0000
0.0000 0.0000 10.9601
K Tl Mo
1 1 2
Direct
0.0000 0.0000 0.0000
0.0000 0.0000 0.5000
0.5000 0.5000 0.2821
0.5000 0.5000 0.7179
```

calculated volume = 21.41 Å³ per atom
DFT total energy = -5.07 eV/atom
E above lowest polymorph = 0.6191 eV per atom
ΔE_f = 1.21 eV/atom

---

The following is a PBE-GGA calculation of KHf2H after structural relaxation, from Alexandria.

POSCAR file:
```
KHf2H
1.0
0.0000 3.5056 3.5056
3.5056 0.0000 3.5056
3.5056 3.5056 0.0000
K Hf H
1 2 1
Direct
0.0000 0.0000 0.0000
0.2500 0.2500 0.2500
0.7500 0.7500 0.7500
0.5000 0.5000 0.5000
```

calculated volume = 21.54 Å³ per atom
DFT total energy = -4.29 eV/atom
E above lowest polymorph = 1.2067 eV per atom

---

The following is a PBE-GGA calculation of NaTeF3 after structural relaxation, from Alexandria.

POSCAR file:
```
NaTeF3
1.0
4.7253 0.0000 0.0000
0.0000 4.7253 0.0000
0.0000 0.0000 4.7253
Na Te F
1 1 3
Direct
0.0000 0.0000 0.0000
0.5000 0.5000 0.5000
0.0000 0.5000 0.5000
0.5000 0.0000 0.5000
0.5000 0.5000 0.0000
```

calculated volume = 21.10 Å³ per atom
raw formation energy = -1.5563 eV/atom
DFT total energy = -3.57 eV/atom
E above lowest polymorph = 0.0000 eV per atom

---

The following is a PBE-GGA calculation of SrZnRe2 after structural relaxation, from Alexandria.

POSCAR file:
```
SrZnRe2
1.0
2.7328 0.0000 0.0000
0.0000 2.7328 0.0000
0.0000 0.0000 9.5170
Sr Zn Re
1 1 2
Direct
0.0000 0.0000 0.0000
0.0000 0.0000 0.5000
0.5000 0.5000 0.2853
0.5000 0.5000 0.7147
```

calculated volume = 17.77 Å³ per atom
DFT total energy = -6.08 eV/atom
ΔE_f = 0.89 eV/atom

---

Total moment (μB/cell)
0.00, 0.00, 0.00, 0.00